No. 1
# Ba4Hg3Pb, optimized geometry, DFT PBE-GGA
# DFT total energy = -33.3 eV for the cell shown
# Calculated volume = 609.6 Å³/cell
# Formation enthalpy at 0 K = -52.7 kJ/mol of atoms
data_Ba4Hg3Pb
_space_group_name_H-M_alt 'I 4/m m m'
_space_group_IT_number 139
_space_group_name_Hall '-I 4 2'
_cell_length_a 5.9880
_cell_length_b 5.9880
_cell_length_c 17.0009
_cell_angle_alpha 90.00
_cell_angle_beta 90.00
_cell_angle_gamma 90.00
loop_
_atom_site_label
_atom_site_fract_x
_atom_site_fract_y
_atom_site_fract_z
Ba1 0.0000 0.5000 0.1264
Hg1 0.0000 0.0000 0.0000
Hg2 0.0000 0.0000 0.2501
Pb1 0.0000 0.0000 0.5000


No. 2
# AlGa2As2, optimized geometry, DFT PBE-GGA
# DFT total energy = -37.2 eV for the cell shown
# Calculated volume = 195.7 Å³/cell
# Formation enthalpy at 0 K = 9.3 kJ/mol of atoms
data_AlGa2As2
_space_group_name_H-M_alt 'P 4/m b m'
_space_group_IT_number 127
_space_group_name_Hall '-P 4 2ab'
_cell_length_a 7.3044
_cell_length_b 7.3044
_cell_length_c 3.6679
_cell_angle_alpha 90.00
_cell_angle_beta 90.00
_cell_angle_gamma 90.00
loop_
_atom_site_label
_atom_site_fract_x
_atom_site_fract_y
_atom_site_fract_z
Al1 0.0000 0.0000 0.0000
Ga1 0.1367 0.3633 0.5000
As1 0.1777 0.6777 0.0000


No. 3
# Tb7Tm12Mg, optimized geometry, DFT PBE-GGA
# DFT total energy = -250.0 eV for the cell shown
# Polymorph energy (0 for the lowest one) = 0 meV per atom
# Calculated volume = 1897.3 Å³/cell
# Formation enthalpy at 0 K = 20.9 kJ/mol of atoms
data_Tb7Tm12Mg
_space_group_name_H-M_alt 'R -3'
_space_group_IT_number 148
_space_group_name_Hall '-R 3'
_cell_length_a 11.7497
_cell_length_b 11.7497
_cell_length_c 15.8690
_cell_angle_alpha 90.00
_cell_angle_beta 90.00
_cell_angle_gamma 120.00
loop_
_atom_site_label
_atom_site_fract_x
_atom_site_fract_y
_atom_site_fract_z
Tb1 0.0000 0.0000 0.0000
Tb2 0.0575 0.1902 0.2911
Tm1 0.0318 0.4567 0.2192
Tm2 0.0527 0.5854 0.5840
Mg1 0.0000 0.0000 0.5000


No. 4
# NaZrAs3, optimized geometry, DFT PBE-GGA
# DFT total energy = -24.5 eV for the cell shown
# Polymorph energy (0 for the lowest one) = 0 meV per atom
# Calculated volume = 142.9 Å³/cell
# Formation enthalpy at 0 K = -13.5 kJ/mol of atoms
data_NaZrAs3
_space_group_name_H-M_alt 'P m -3 m'
_space_group_IT_number 221
_space_group_name_Hall '-P 4 2 3'
_cell_length_a 5.2278
_cell_length_b 5.2278
_cell_length_c 5.2278
_cell_angle_alpha 90.00
_cell_angle_beta 90.00
_cell_angle_gamma 90.00
loop_
_atom_site_label
_atom_site_fract_x
_atom_site_fract_y
_atom_site_fract_z
Na1 0.0000 0.0000 0.0000
Zr1 0.5000 0.5000 0.5000
As1 0.0000 0.5000 0.5000


Repeat the first record exactly.
# Ba4Hg3Pb, optimized geometry, DFT PBE-GGA
# DFT total energy = -33.3 eV for the cell shown
# Calculated volume = 609.6 Å³/cell
# Formation enthalpy at 0 K = -52.7 kJ/mol of atoms
data_Ba4Hg3Pb
_space_group_name_H-M_alt 'I 4/m m m'
_space_group_IT_number 139
_space_group_name_Hall '-I 4 2'
_cell_length_a 5.9880
_cell_length_b 5.9880
_cell_length_c 17.0009
_cell_angle_alpha 90.00
_cell_angle_beta 90.00
_cell_angle_gamma 90.00
loop_
_atom_site_label
_atom_site_fract_x
_atom_site_fract_y
_atom_site_fract_z
Ba1 0.0000 0.5000 0.1264
Hg1 0.0000 0.0000 0.0000
Hg2 0.0000 0.0000 0.2501
Pb1 0.0000 0.0000 0.5000


What did the third record say?
# Tb7Tm12Mg, optimized geometry, DFT PBE-GGA
# DFT total energy = -250.0 eV for the cell shown
# Polymorph energy (0 for the lowest one) = 0 meV per atom
# Calculated volume = 1897.3 Å³/cell
# Formation enthalpy at 0 K = 20.9 kJ/mol of atoms
data_Tb7Tm12Mg
_space_group_name_H-M_alt 'R -3'
_space_group_IT_number 148
_space_group_name_Hall '-R 3'
_cell_length_a 11.7497
_cell_length_b 11.7497
_cell_length_c 15.8690
_cell_angle_alpha 90.00
_cell_angle_beta 90.00
_cell_angle_gamma 120.00
loop_
_atom_site_label
_atom_site_fract_x
_atom_site_fract_y
_atom_site_fract_z
Tb1 0.0000 0.0000 0.0000
Tb2 0.0575 0.1902 0.2911
Tm1 0.0318 0.4567 0.2192
Tm2 0.0527 0.5854 0.5840
Mg1 0.0000 0.0000 0.5000